# 1
# Ac8Co3H2 (PBE, optimized geometry)
data_Ac8Co3H2
_space_group_name_H-M_alt 'C 1 2/m 1'
_space_group_IT_number 12
_cell_length_a 13.476
_cell_length_b 8.190
_cell_length_c 7.185
_cell_angle_alpha 90.00
_cell_angle_beta 91.74
_cell_angle_gamma 90.00
loop_
_space_group_symop_operation_xyz
'x,y,z'
'-x,-y,-z'
'-x,y,-z'
'x,-y,z'
'x+1/2,y+1/2,z'
'-x+1/2,-y+1/2,-z'
'-x+1/2,y+1/2,-z'
'x+1/2,-y+1/2,z'
loop_
_atom_site_label
_atom_site_type_symbol
_atom_site_fract_x
_atom_site_fract_y
_atom_site_fract_z
Ac1 Ac 0.113 0.000 0.336
Ac2 Ac 0.117 0.500 0.337
Ac3 Ac 0.127 0.245 0.844
Co1 Co 0.000 0.000 0.000
Co2 Co 0.000 0.257 0.500
H1 H 0.232 0.500 0.029
# - Calculated volume: 30.485 A^3/atom
# - Total DFT energy (no corrections): -124.52 eV/cell
# - DOS(E_F): 20.74 states/eV per cell

***

# 2
# Ac8Co2H (PBE, optimized geometry)
data_Ac8Co2H
_space_group_name_H-M_alt 'C 1 2/m 1'
_space_group_IT_number 12
_cell_length_a 12.963
_cell_length_b 9.723
_cell_length_c 6.144
_cell_angle_alpha 90.00
_cell_angle_beta 90.19
_cell_angle_gamma 90.00
loop_
_space_group_symop_operation_xyz
'x,y,z'
'-x,-y,-z'
'-x,y,-z'
'x,-y,z'
'x+1/2,y+1/2,z'
'-x+1/2,-y+1/2,-z'
'-x+1/2,y+1/2,-z'
'x+1/2,-y+1/2,z'
loop_
_atom_site_label
_atom_site_type_symbol
_atom_site_fract_x
_atom_site_fract_y
_atom_site_fract_z
Ac1 Ac 0.102 0.210 0.246
Ac2 Ac 0.118 0.500 0.746
Ac3 Ac 0.181 0.000 0.746
Co1 Co 0.105 0.500 0.246
H1 H 0.000 0.000 0.000
# - Calculated volume: 35.198 A^3/atom
# - Total DFT energy (no corrections): -101.09 eV/cell
# - DOS(E_F): 26.30 states/eV per cell

***

# 3
# Ac8Co4H (PBE, optimized geometry)
data_Ac8Co4H
_space_group_name_H-M_alt 'C 1 m 1'
_space_group_IT_number 8
_cell_length_a 20.499
_cell_length_b 4.224
_cell_length_c 13.857
_cell_angle_alpha 90.00
_cell_angle_beta 131.21
_cell_angle_gamma 90.00
loop_
_space_group_symop_operation_xyz
'x,y,z'
'x,-y,z'
'x+1/2,y+1/2,z'
'x+1/2,-y+1/2,z'
loop_
_atom_site_label
_atom_site_type_symbol
_atom_site_fract_x
_atom_site_fract_y
_atom_site_fract_z
Ac1 Ac 0.000 0.000 0.000
Ac2 Ac 0.023 0.000 0.742
Ac3 Ac 0.125 0.500 0.609
Ac4 Ac 0.204 0.500 0.072
Ac5 Ac 0.299 0.000 0.930
Ac6 Ac 0.329 0.000 0.673
Ac7 Ac 0.374 0.000 0.418
Ac8 Ac 0.453 0.500 0.269
Co1 Co 0.006 0.000 0.519
Co2 Co 0.018 0.500 0.878
Co3 Co 0.309 0.500 0.801
Co4 Co 0.325 0.000 0.163
H1 H 0.357 0.500 0.563
# - Calculated volume: 34.716 A^3/atom
# - Total DFT energy (no corrections): -129.86 eV/cell
# - DOS(E_F): 15.72 states/eV per cell

***

# 4
# Ac7Co3H (PBE, optimized geometry)
data_Ac7Co3H
_space_group_name_H-M_alt 'C 1 2/m 1'
_space_group_IT_number 12
_cell_length_a 9.089
_cell_length_b 11.546
_cell_length_c 7.182
_cell_angle_alpha 90.00
_cell_angle_beta 111.50
_cell_angle_gamma 90.00
loop_
_space_group_symop_operation_xyz
'x,y,z'
'-x,-y,-z'
'-x,y,-z'
'x,-y,z'
'x+1/2,y+1/2,z'
'-x+1/2,-y+1/2,-z'
'-x+1/2,y+1/2,-z'
'x+1/2,-y+1/2,z'
loop_
_atom_site_label
_atom_site_type_symbol
_atom_site_fract_x
_atom_site_fract_y
_atom_site_fract_z
Ac1 Ac 0.000 0.000 0.000
Ac2 Ac 0.161 0.298 0.741
Ac3 Ac 0.178 0.500 0.261
Co1 Co 0.000 0.275 0.000
Co2 Co 0.000 0.500 0.500
H1 H 0.000 0.000 0.500
# - Calculated volume: 31.874 A^3/atom
# - Total DFT energy (no corrections): -104.44 eV/cell
# - DOS(E_F): 19.15 states/eV per cell

***

# 5
# AcCoH (PBE, optimized geometry)
data_AcCoH
_space_group_name_H-M_alt 'P n m a'
_space_group_IT_number 62
_cell_length_a 7.889
_cell_length_b 3.961
_cell_length_c 7.128
_cell_angle_alpha 90.00
_cell_angle_beta 90.00
_cell_angle_gamma 90.00
loop_
_space_group_symop_operation_xyz
'x,y,z'
'-x,-y,-z'
'-x+1/2,-y,z+1/2'
'x+1/2,y,-z+1/2'
'x+1/2,-y+1/2,-z+1/2'
'-x+1/2,y+1/2,z+1/2'
'-x,y+1/2,-z'
'x,-y+1/2,z'
loop_
_atom_site_label
_atom_site_type_symbol
_atom_site_fract_x
_atom_site_fract_y
_atom_site_fract_z
Ac1 Ac 0.185 0.250 0.176
Co1 Co 0.023 0.250 0.579
H1 H 0.072 0.250 0.809
# - Calculated volume: 18.561 A^3/atom
# - Total DFT energy (no corrections): -60.74 eV/cell
# - DOS(E_F): 8.20 states/eV per cell

***

# 6
# Ac6Co3H (PBE, optimized geometry)
data_Ac6Co3H
_space_group_name_H-M_alt 'P 1 21/m 1'
_space_group_IT_number 11
_cell_length_a 12.499
_cell_length_b 4.149
_cell_length_c 13.055
_cell_angle_alpha 90.00
_cell_angle_beta 114.61
_cell_angle_gamma 90.00
loop_
_space_group_symop_operation_xyz
'x,y,z'
'-x,-y,-z'
'-x,y+1/2,-z'
'x,-y+1/2,z'
loop_
_atom_site_label
_atom_site_type_symbol
_atom_site_fract_x
_atom_site_fract_y
_atom_site_fract_z
Ac1 Ac 0.062 0.250 0.397
Ac2 Ac 0.091 0.250 0.938
Ac3 Ac 0.254 0.750 0.232
Ac4 Ac 0.259 0.250 0.725
Ac5 Ac 0.404 0.750 0.572
Ac6 Ac 0.428 0.250 0.099
Co1 Co 0.087 0.250 0.161
Co2 Co 0.166 0.750 0.565
Co3 Co 0.494 0.250 0.732
H1 H 0.259 0.750 0.038
# - Calculated volume: 30.774 A^3/atom
# - Total DFT energy (no corrections): -99.37 eV/cell
# - DOS(E_F): 13.00 states/eV per cell

***

# 7
# Ac4CoH2 (PBE, optimized geometry)
data_Ac4CoH2
_space_group_name_H-M_alt 'I 4/m m m'
_space_group_IT_number 139
_space_group_name_Hall '-I 4 2'
_cell_length_a 5.521
_cell_length_b 5.521
_cell_length_c 13.164
_cell_angle_alpha 90.00
_cell_angle_beta 90.00
_cell_angle_gamma 90.00
loop_
_atom_site_label
_atom_site_type_symbol
_atom_site_fract_x
_atom_site_fract_y
_atom_site_fract_z
Ac1 Ac 0.000 0.000 0.234
Ac2 Ac 0.000 0.500 0.000
Co1 Co 0.000 0.000 0.000
H1 H 0.000 0.000 0.423
# - Calculated volume: 28.659 A^3/atom
# - Total DFT energy (no corrections): -61.32 eV/cell
# - DOS(E_F): 15.68 states/eV per cell

***

# 8
# Ac3CoHgH (PBE, optimized geometry)
data_Ac3CoHgH
_space_group_name_H-M_alt 'P 1 21/m 1'
_space_group_IT_number 11
_cell_length_a 9.134
_cell_length_b 4.205
_cell_length_c 9.572
_cell_angle_alpha 90.00
_cell_angle_beta 104.18
_cell_angle_gamma 90.00
loop_
_space_group_symop_operation_xyz
'x,y,z'
'-x,-y,-z'
'-x,y+1/2,-z'
'x,-y+1/2,z'
loop_
_atom_site_label
_atom_site_type_symbol
_atom_site_fract_x
_atom_site_fract_y
_atom_site_fract_z
Ac1 Ac 0.050 0.250 0.337
Ac2 Ac 0.296 0.250 0.966
Ac3 Ac 0.375 0.750 0.640
Co1 Co 0.170 0.250 0.659
Hg1 Hg 0.315 0.750 0.255
H1 H 0.427 0.750 0.916
# - Calculated volume: 29.708 A^3/atom
# - Total DFT energy (no corrections): -49.57 eV/cell
# - DOS(E_F): 7.86 states/eV per cell